[1]
Compound: YTcP2H
Source: Alexandria via LeMat-Bulk
Functional: PBE-GGA
Structure: optimized geometry

## Properties
* E: -30.1 eV for the cell shown
* V: 22.043 Å³/atom
* Fermi-level density of states: 1.8 states/eV/cell

Unit cell a=4.4499 b=5.5660 c=4.4499 alpha=90.00 beta=90.00 gamma=90.00
Element x y z (fractional)
Y: 0.0000 0.5000 0.0000
Tc: 0.0000 0.0000 0.0000
P: 0.0000 0.0000 0.5000
H: 0.5000 0.5000 0.5000
P: 0.5000 0.0000 0.0000

[2]
Compound: RbSrRh2
Source: Alexandria via LeMat-Bulk
Functional: PBE-GGA
Structure: optimized geometry

## Properties
* E: -14.7 eV for the cell shown
* V: 24.519 Å³/atom
* Fermi-level density of states: 4.1 states/eV/cell
* formation energy: 0.67 eV per atom

Unit cell a=5.1764 b=5.1764 c=5.1764 alpha=60.00 beta=60.00 gamma=60.00
Element x y z (fractional)
Rh: 0.7500 0.7500 0.7500
Sr: 0.5000 0.5000 0.5000
Rb: 0.0000 0.0000 0.0000
Rh: 0.2500 0.2500 0.2500

[3]
Compound: SrHRuO6
Source: Alexandria via LeMat-Bulk
Functional: PBE-GGA
Structure: optimized geometry

## Properties
* E: -54.2 eV for the cell shown
* V: 12.942 Å³/atom
* Fermi-level density of states: 0.7 states/eV/cell

Unit cell a=5.6924 b=4.3375 c=5.4761 alpha=92.59 beta=86.74 gamma=60.00
Each line ends with the local moment (μB).
Element x y z (fractional)
Sr: 0.9315 0.0988 0.0486  0.01
O: 0.2657 0.8879 0.6124  0.12
O: 0.0545 0.5062 0.8398  0.07
O: 0.4876 0.0125 0.2393  0.18
O: 0.6205 0.1892 0.6723  -0.02
H: 0.8653 0.7324 0.4960  0.00
O: 0.4521 0.7476 0.1433  0.20
O: 0.0124 0.5639 0.3715  -0.01
Ru: 0.3102 0.2616 0.5767  0.37

[4]
Compound: Te2IClF
Source: Alexandria via LeMat-Bulk
Functional: PBE-GGA
Structure: optimized geometry

## Properties
* E: -8.6 eV for the cell shown
* V: 34.250 Å³/atom
* Fermi-level density of states: 8.0 states/eV/cell
* ΔE_f (raw): 0.59 eV per atom

Unit cell a=5.5141 b=5.5141 c=5.6322 alpha=90.00 beta=90.00 gamma=90.00
Each line ends with the local moment (μB).
Element x y z (fractional)
Te: 0.0000 0.5000 0.0000  0.61
Cl: 0.0000 0.0000 0.0000  0.09
Te: 0.5000 0.0000 0.0000  0.61
I: 0.0000 0.0000 0.5000  0.14
F: 0.5000 0.5000 0.5000  0.36

[5]
Compound: NdMnGa3
Source: Alexandria via LeMat-Bulk
Functional: PBE-GGA
Structure: optimized geometry

## Properties
* E: -24.8 eV for the cell shown
* V: 19.618 Å³/atom
* Fermi-level density of states: 2.3 states/eV/cell
* formation energy: -0.36 eV per atom

Unit cell a=4.6119 b=4.6119 c=4.6119 alpha=90.00 beta=90.00 gamma=90.00
Element x y z (fractional)
Mn: 0.0000 0.0000 0.0000
Ga: 0.0000 0.0000 0.5000
Ga: 0.5000 0.0000 0.0000
Ga: 0.0000 0.5000 0.0000
Nd: 0.5000 0.5000 0.5000

[6]
Compound: TbHoAgRu
Source: Alexandria via LeMat-Bulk
Functional: PBE-GGA
Structure: optimized geometry

## Properties
* E: -22.7 eV for the cell shown
* V: 21.567 Å³/atom
* Fermi-level density of states: 2.5 states/eV/cell
* formation energy: -0.35 eV per atom

Unit cell a=4.9597 b=4.9597 c=4.9597 alpha=60.00 beta=60.00 gamma=60.00
Element x y z (fractional)
Ag: 0.7500 0.7500 0.7500
Ho: 0.5000 0.5000 0.5000
Ru: 0.2500 0.2500 0.2500
Tb: 0.0000 0.0000 0.0000

[7]
Compound: Tm3Cd7
Source: Alexandria via LeMat-Bulk
Functional: PBE-GGA
Structure: optimized geometry

## Properties
* E: -22.2 eV for the cell shown
* V: 23.718 Å³/atom
* Fermi-level density of states: 5.2 states/eV/cell
* formation energy: -0.23 eV per atom

Unit cell a=4.9128 b=6.3780 c=8.5273 alpha=111.06 beta=106.74 gamma=90.00
Element x y z (fractional)
Cd: 0.0000 0.5000 0.0000
Cd: 0.5918 0.8474 0.1836
Tm: 0.2052 0.7860 0.4103
Cd: 0.8006 0.7115 0.6012
Cd: 0.3925 0.6321 0.7849
Cd: 0.4082 0.1526 0.8164
Tm: 0.7948 0.2140 0.5897
Tm: 0.0000 0.0000 0.0000
Cd: 0.6075 0.3679 0.2151
Cd: 0.1994 0.2885 0.3988

[8]
Compound: TiCoSb2
Source: Alexandria via LeMat-Bulk
Functional: PBE-GGA
Structure: optimized geometry

## Properties
* E: -22.3 eV for the cell shown
* V: 20.870 Å³/atom
* Fermi-level density of states: 4.7 states/eV/cell
* ΔE_f (raw): 0.24 eV per atom

Unit cell a=3.2244 b=3.2244 c=9.4566 alpha=80.18 beta=80.18 gamma=60.00
Each line ends with the local moment (μB).
Element x y z (fractional)
Sb: 0.9114 0.9114 0.2659  -0.01
Sb: 0.0886 0.0886 0.7341  -0.01
Co: 0.0000 0.0000 0.0000  1.62
Ti: 0.5000 0.5000 0.5000  -0.07

[9]
Compound: SmHCl
Source: Alexandria via LeMat-Bulk
Functional: PBE-GGA
Structure: optimized geometry

## Properties
* E: -26.0 eV for the cell shown
* V: 18.817 Å³/atom
* Fermi-level density of states: 4.4 states/eV/cell

Unit cell a=3.9869 b=3.7078 c=9.0576 alpha=90.00 beta=90.00 gamma=122.52
Element x y z (fractional)
H: 0.3591 0.7183 0.2500
Cl: 0.0000 0.0000 0.0000
Sm: 0.7126 0.4252 0.2500
H: 0.6409 0.2817 0.7500
Sm: 0.2874 0.5748 0.7500
Cl: 0.0000 0.0000 0.5000

[10]
Compound: TlCdO2
Source: Alexandria via LeMat-Bulk
Functional: PBE-GGA
Structure: optimized geometry

## Properties
* E: -14.3 eV for the cell shown
* V: 14.222 Å³/atom
* Fermi-level density of states: 1.7 states/eV/cell
* ΔE_f (raw): -0.29 eV per atom

Unit cell a=4.3169 b=4.3169 c=4.3169 alpha=60.00 beta=60.00 gamma=60.00
Element x y z (fractional)
O: 0.2500 0.2500 0.2500
Tl: 0.5000 0.5000 0.5000
Cd: 0.0000 0.0000 0.0000
O: 0.7500 0.7500 0.7500

[11]
Compound: TcGeNF2
Source: Alexandria via LeMat-Bulk
Functional: PBE-GGA
Structure: optimized geometry

## Properties
* E: -29.1 eV for the cell shown
* V: 13.772 Å³/atom
* Fermi-level density of states: 4.0 states/eV/cell
* ΔE_f (raw): -0.42 eV per atom

Unit cell a=4.2484 b=4.2484 c=3.8151 alpha=90.00 beta=90.00 gamma=90.00
Each line ends with the local moment (μB).
Element x y z (fractional)
Tc: 0.0000 0.0000 0.0000  0.13
N: 0.0000 0.0000 0.5000  0.00
F: 0.0000 0.5000 0.0000  0.01
F: 0.5000 0.0000 0.0000  0.01
Ge: 0.5000 0.5000 0.5000  0.00

[12]
Compound: In2Sn2Hg
Source: Alexandria via LeMat-Bulk
Functional: PBE-GGA
Structure: optimized geometry

## Properties
* E: -13.4 eV for the cell shown
* V: 31.347 Å³/atom
* Fermi-level density of states: 1.4 states/eV/cell
* formation energy: 0.08 eV per atom

Unit cell a=5.1711 b=5.1711 c=6.9084 alpha=68.02 beta=68.02 gamma=90.00
Element x y z (fractional)
Sn: 0.3798 0.3798 0.2404
Hg: 0.0000 0.0000 0.0000
Sn: 0.6202 0.6202 0.7596
In: 0.7500 0.2500 0.5000
In: 0.2500 0.7500 0.5000